1.
This record from the Alexandria database describes RbCrHg2 at its PBEsol-relaxed geometry. The functional is meta-GGA SCAN.

abc: 7.563 7.563 7.563
angles: 90.00 90.00 90.00
Positions (direct):
Rb 0.000 0.000 0.000
Rb 0.000 0.500 0.500
Rb 0.500 0.000 0.500
Rb 0.500 0.500 0.000
Cr 0.000 0.000 0.500
Cr 0.000 0.500 0.000
Cr 0.500 0.000 0.000
Cr 0.500 0.500 0.500
Hg 0.250 0.250 0.250
Hg 0.250 0.250 0.750
Hg 0.250 0.750 0.250
Hg 0.250 0.750 0.750
Hg 0.750 0.250 0.250
Hg 0.750 0.250 0.750
Hg 0.750 0.750 0.250
Hg 0.750 0.750 0.750

- DFT formation energy (meV per atom) = 216
- SG = Fm-3m



2.
This record from the Alexandria database describes MnFe2W at its PBEsol-relaxed geometry. The functional is meta-GGA SCAN.

abc: 2.935 2.935 5.591
angles: 90.00 90.00 90.00
Positions (direct):
Mn 0.000 0.000 0.000
Fe 0.000 0.000 0.519
Fe 0.500 0.500 0.753
W 0.500 0.500 0.254

- energy relative to the lowest polymorph listed for this composition (eV/f.u.) = 0.21
- DFT formation energy (meV per atom) = 57
- SG = P4mm



3.
This record from the Alexandria database describes AcSnHg2 at its PBEsol-relaxed geometry. The functional is meta-GGA SCAN.

abc: 7.538 7.538 7.538
angles: 90.00 90.00 90.00
Positions (direct):
Ac 0.000 0.000 0.000
Ac 0.000 0.500 0.500
Ac 0.500 0.000 0.500
Ac 0.500 0.500 0.000
Sn 0.000 0.000 0.500
Sn 0.000 0.500 0.000
Sn 0.500 0.000 0.000
Sn 0.500 0.500 0.500
Hg 0.250 0.250 0.250
Hg 0.250 0.250 0.750
Hg 0.250 0.750 0.250
Hg 0.250 0.750 0.750
Hg 0.750 0.250 0.250
Hg 0.750 0.250 0.750
Hg 0.750 0.750 0.250
Hg 0.750 0.750 0.750

- DFT formation energy (meV per atom) = -564
- SG = Fm-3m



4.
This record from the Alexandria database describes Mn7Ni8Sn at its PBEsol-relaxed geometry. The functional is meta-GGA SCAN.

abc: 13.685 13.685 13.685
angles: 17.15 17.15 17.15
Positions (direct):
Mn 0.000 0.000 0.000
Mn 0.123 0.123 0.123
Mn 0.252 0.252 0.252
Mn 0.374 0.374 0.374
Mn 0.626 0.626 0.626
Mn 0.748 0.748 0.748
Mn 0.877 0.877 0.877
Ni 0.062 0.062 0.062
Ni 0.192 0.192 0.192
Ni 0.313 0.313 0.313
Ni 0.435 0.435 0.435
Ni 0.565 0.565 0.565
Ni 0.687 0.687 0.687
Ni 0.808 0.808 0.808
Ni 0.938 0.938 0.938
Sn 0.500 0.500 0.500

- DFT formation energy (meV per atom) = -333
- SG = R-3m



5.
This record from the Alexandria database describes Nb4Pd at its PBEsol-relaxed geometry. The functional is meta-GGA SCAN.

abc: 11.594 11.505 2.781
angles: 84.91 81.27 13.82
Positions (direct):
Nb 0.095 0.095 0.905
Nb 0.302 0.302 0.698
Nb 0.698 0.698 0.302
Nb 0.905 0.905 0.095
Pd 0.500 0.500 0.500

- DFT formation energy (meV per atom) = -139
- SG = Fmmm



6.
This record from the Alexandria database describes MnIO2F at its PBEsol-relaxed geometry. The functional is meta-GGA SCAN.

abc: 4.003 4.003 5.453
angles: 90.00 90.00 90.00
Positions (direct):
Mn 0.000 0.000 0.000
I 0.500 0.500 0.500
O 0.000 0.500 0.500
O 0.500 0.000 0.500
F 0.500 0.500 0.000

- formation energy (no corrections) (eV per atom) = -0.2510
- SG = P4/mmm



7.
This record from the Alexandria database describes LiCd2Pb at its PBEsol-relaxed geometry. The functional is meta-GGA SCAN.

abc: 4.370 4.370 4.578
angles: 90.00 90.00 90.00
Positions (direct):
Li 0.000 0.000 0.000
Cd 0.000 0.500 0.500
Cd 0.500 0.000 0.500
Pb 0.500 0.500 0.000

- DFT formation energy (meV per atom) = -162
- SG = P4/mmm



8.
This record from the Alexandria database describes CrNiAg2F7 at its PBEsol-relaxed geometry. The functional is meta-GGA SCAN.

abc: 7.317 7.317 7.317
angles: 120.38 91.25 118.20
Positions (direct):
Cr 0.500 0.000 0.000
Cr 0.500 0.500 0.500
Ni 0.000 0.000 0.000
Ni 0.500 0.000 0.500
Ag 0.000 0.000 0.500
Ag 0.000 0.500 0.000
Ag 0.000 0.500 0.500
Ag 0.500 0.500 0.000
F 0.130 0.227 0.903
F 0.176 0.773 0.403
F 0.196 0.276 0.320
F 0.196 0.876 0.920
F 0.415 0.665 0.750
F 0.456 0.276 0.580
F 0.456 0.876 0.180
F 0.544 0.124 0.820
F 0.544 0.724 0.420
F 0.585 0.335 0.250
F 0.804 0.124 0.080
F 0.804 0.724 0.680
F 0.824 0.227 0.597
F 0.870 0.773 0.097

- formation energy (no corrections) (eV per atom) = -2.1825
- SG = Imma



9.
This record from the Alexandria database describes NdCu2Si2 at its PBEsol-relaxed geometry. The functional is meta-GGA SCAN.

abc: 4.031 4.031 9.823
angles: 90.00 90.00 90.00
Positions (direct):
Nd 0.000 0.000 0.000
Nd 0.500 0.500 0.500
Cu 0.000 0.500 0.250
Cu 0.000 0.500 0.750
Cu 0.500 0.000 0.250
Cu 0.500 0.000 0.750
Si 0.000 0.000 0.378
Si 0.000 0.000 0.622
Si 0.500 0.500 0.122
Si 0.500 0.500 0.878

- formation energy (no corrections) (eV per atom) = -0.6298
- SG = I4/mmm



10.
This record from the Alexandria database describes LiLaMn2 at its PBEsol-relaxed geometry. The functional is meta-GGA SCAN.

abc: 6.739 6.739 6.739
angles: 90.00 90.00 90.00
Positions (direct):
Li 0.000 0.000 0.000
Li 0.000 0.500 0.500
Li 0.500 0.000 0.500
Li 0.500 0.500 0.000
La 0.000 0.000 0.500
La 0.000 0.500 0.000
La 0.500 0.000 0.000
La 0.500 0.500 0.500
Mn 0.250 0.250 0.250
Mn 0.250 0.250 0.750
Mn 0.250 0.750 0.250
Mn 0.250 0.750 0.750
Mn 0.750 0.250 0.250
Mn 0.750 0.250 0.750
Mn 0.750 0.750 0.250
Mn 0.750 0.750 0.750

- energy relative to the lowest polymorph listed for this composition (eV/f.u.) = 0.00
- DFT formation energy (meV per atom) = 246
- SG = Fm-3m



11.
This record from the Alexandria database describes ZrNClF2 at its PBEsol-relaxed geometry. The functional is meta-GGA SCAN.

abc: 4.074 4.074 4.362
angles: 90.00 90.00 90.00
Positions (direct):
Zr 0.000 0.000 0.000
N 0.000 0.000 0.500
Cl 0.500 0.500 0.500
F 0.000 0.500 0.000
F 0.500 0.000 0.000

- formation energy (no corrections) (eV per atom) = -1.8226
- SG = P4/mmm



12.
This record from the Alexandria database describes BaMgAg2 at its PBEsol-relaxed geometry. The functional is meta-GGA SCAN.

abc: 8.206 4.738 6.383
angles: 90.00 115.52 90.00
Positions (direct):
Ba 0.000 0.000 0.000
Ba 0.500 0.500 0.000
Mg 0.307 0.500 0.419
Mg 0.807 0.000 0.419
Ag 0.004 0.500 0.510
Ag 0.199 0.000 0.594
Ag 0.504 0.000 0.510
Ag 0.699 0.500 0.594

- DFT formation energy (meV per atom) = -194
- SG = Cm



13.
This record from the Alexandria database describes La2InH2 at its PBEsol-relaxed geometry. The functional is meta-GGA SCAN.

abc: 4.068 4.068 12.177
angles: 90.00 90.00 90.00
Positions (direct):
La 0.000 0.000 0.149
La 0.000 0.000 0.851
La 0.500 0.500 0.351
La 0.500 0.500 0.649
In 0.000 0.000 0.500
In 0.500 0.500 0.000
H 0.000 0.500 0.250
H 0.000 0.500 0.750
H 0.500 0.000 0.250
H 0.500 0.000 0.750

- SG = I4/mmm



14.
This record from the Alexandria database describes Sr2IrBr at its PBEsol-relaxed geometry. The functional is meta-GGA SCAN.

abc: 3.701 3.905 15.893
angles: 90.00 90.00 90.00
Positions (direct):
Sr 0.000 0.000 0.000
Sr 0.000 0.500 0.285
Sr 0.500 0.000 0.785
Sr 0.500 0.500 0.500
Ir 0.000 0.000 0.415
Ir 0.500 0.500 0.915
Br 0.000 0.500 0.671
Br 0.500 0.000 0.171

- energy relative to the lowest polymorph listed for this composition (eV/f.u.) = 0.00
- formation energy (no corrections) (eV per atom) = -0.8079
- SG = Imm2



| no. | final energy (Ha/atom) |
| --- | --- |
| 1 | -1.6040 |
| 2 | -1.1390 |
| 3 | -2.4345 |
| 4 | -0.6854 |
| 5 | -1.2200 |
| 6 | -0.5311 |
| 7 | -1.2830 |
| 8 | -0.4880 |
| 9 | -0.7141 |
| 10 | -0.7444 |
| 11 | -0.4716 |
| 12 | -0.9926 |
| 13 | -0.9573 |
| 14 | -1.2710 |